Entry 1:
# Ce6AlS12

A geometry-optimized Ce6AlS12 structure (PBE, Alexandria).

- Energy relative to the elements, uncorrected: -1.785 eV per atom

Unit cell a=7.8811 b=7.8811 c=7.8811 alpha=99.41 beta=99.41 gamma=99.41
With the nearest neighbours (Å) after each atom.
Positions (direct):
Ce 0.1321 0.2935 0.6206  7 S 2.73-2.95
Ce 0.7065 0.3794 0.8679  7 S 2.73-2.95
Ce 0.3794 0.8679 0.7065  7 S 2.73-2.95
Ce 0.8679 0.7065 0.3794  7 S 2.73-2.95
Ce 0.2935 0.6206 0.1321  7 S 2.73-2.95
Ce 0.6206 0.1321 0.2935  7 S 2.73-2.95
Al 0.0000 0.0000 0.0000  6 S 2.45
S 0.4351 0.1776 0.5835  4 Ce 2.73-2.91
S 0.1776 0.5835 0.4351  4 Ce 2.73-2.91
S 0.5835 0.4351 0.1776  4 Ce 2.73-2.91
S 0.5649 0.8224 0.4165  4 Ce 2.73-2.91
S 0.8224 0.4165 0.5649  4 Ce 2.73-2.91
S 0.4165 0.5649 0.8224  4 Ce 2.73-2.91
S 0.0366 0.9386 0.6947  1 Al 2.45
S 0.3053 0.9634 0.0614  1 Al 2.45
S 0.0614 0.3053 0.9634  1 Al 2.45
S 0.9634 0.0614 0.3053  1 Al 2.45
S 0.6947 0.0366 0.9386  1 Al 2.45
S 0.9386 0.6947 0.0366  1 Al 2.45

***

Entry 2:
# U2Ni3As4

A geometry-optimized U2Ni3As4 structure (PBE, Alexandria).

- Calculated formation energy: -4.74 eV per formula unit

Unit cell a=4.0912 b=4.0912 c=9.1428 alpha=90.00 beta=90.00 gamma=90.00
With the nearest neighbours (Å) after each atom.
Positions (direct):
U 0.5000 0.5000 0.7468  8 As 3.01-3.02, 5 Ni 3.03-3.35
U 0.0000 0.0000 0.2495  8 As 3.08-3.14, 8 Ni 3.09-3.15
Ni 0.5000 0.0000 0.5024  4 As 2.40-2.46
Ni 0.0000 0.5000 0.5024  4 As 2.40-2.46
Ni 0.5000 0.5000 0.1133  5 As 2.30-2.34
As 0.5000 0.5000 0.3654  5 Ni 2.30-2.40
As 0.0000 0.0000 0.6515  4 Ni 2.46
As 0.5000 0.0000 0.9890  2 Ni 2.34
As 0.0000 0.5000 0.9890  2 Ni 2.34

***

Entry 3:
# K2ZrSi2O7

A geometry-optimized K2ZrSi2O7 structure (PBE, Alexandria).

- Energy relative to the elements, uncorrected: -2.786 eV per atom

Unit cell a=5.6715 b=9.6801 c=14.3922 alpha=62.98 beta=90.00 gamma=90.00
With the nearest neighbours (Å) after each atom.
Positions (direct):
K 0.7500 0.0380 0.5726  9 O 2.85-3.19
K 0.2456 0.5134 0.6044  8 O 2.80-3.06, 1 Si 3.12
K 0.2500 0.9620 0.9274  9 O 2.85-3.19
K 0.7500 0.0380 0.0726  9 O 2.85-3.19
K 0.2500 0.9620 0.4274  9 O 2.85-3.19
K 0.7544 0.4866 0.3956  8 O 2.80-3.06, 1 Si 3.12
K 0.7456 0.4866 0.8956  8 O 2.80-3.06, 1 Si 3.12
K 0.2544 0.5134 0.1044  8 O 2.80-3.06, 1 Si 3.12
Zr 0.2493 0.7666 0.2275  6 O 2.08-2.15
Zr 0.7493 0.2334 0.2725  6 O 2.08-2.15
Zr 0.7507 0.2334 0.7725  6 O 2.08-2.15
Zr 0.2507 0.7666 0.7275  6 O 2.08-2.15
Si 0.7462 0.8242 0.3711  4 O 1.63-1.68
Si 0.7538 0.8242 0.8711  4 O 1.63-1.68
Si 0.2462 0.1758 0.1289  4 O 1.63-1.68
Si 0.2538 0.1758 0.6289  4 O 1.63-1.68
Si 0.7477 0.6644 0.6131  4 O 1.63-1.67
Si 0.7523 0.6644 0.1131  4 O 1.63-1.67
Si 0.2523 0.3356 0.3869  4 O 1.63-1.67
Si 0.2477 0.3356 0.8869  4 O 1.63-1.67
O 0.7626 0.6795 0.4929  2 Si 1.67-1.68
O 0.9964 0.7469 0.1225  1 Si 1.63
O 0.4815 0.2509 0.8701  1 Si 1.63
O 0.2521 0.0105 0.1249  1 Si 1.63
O 0.5185 0.7491 0.1299  1 Si 1.63
O 0.5036 0.7469 0.6225  1 Si 1.63
O 0.0185 0.2509 0.3701  1 Si 1.63
O 0.2479 0.0105 0.6249  1 Si 1.63
O 0.7506 0.4771 0.1885  1 Si 1.64
O 0.2626 0.3205 0.0071  2 Si 1.67-1.68
O 0.4964 0.2531 0.3775  1 Si 1.63
O 0.9815 0.7491 0.6299  1 Si 1.63
O 0.9739 0.7967 0.3122  1 Si 1.63
O 0.2494 0.5229 0.8115  1 Si 1.64
O 0.2374 0.3205 0.5071  2 Si 1.67-1.68
O 0.7494 0.4771 0.6885  1 Si 1.64
O 0.9997 0.2054 0.1759  1 Si 1.63
O 0.0261 0.2033 0.6878  1 Si 1.63
O 0.4997 0.7946 0.3241  1 Si 1.63
O 0.7479 0.9895 0.8751  1 Si 1.63
O 0.2506 0.5229 0.3115  1 Si 1.64
O 0.7521 0.9895 0.3751  1 Si 1.63
O 0.7374 0.6795 0.9929  2 Si 1.67-1.68
O 0.0003 0.7946 0.8241  1 Si 1.63
O 0.5003 0.2054 0.6759  1 Si 1.63
O 0.5261 0.7967 0.8122  1 Si 1.63
O 0.0036 0.2531 0.8775  1 Si 1.63
O 0.4739 0.2033 0.1878  1 Si 1.63

***

Entry 4:
# RbScPO2

A geometry-optimized RbScPO2 structure (PBE, Alexandria).

- Energy relative to the elements, uncorrected: 0.550 eV per atom

Unit cell a=4.2166 b=4.2166 c=5.4607 alpha=90.00 beta=90.00 gamma=90.00
With the nearest neighbours (Å) after each atom.
Positions (direct):
Sc 0.5000 0.5000 0.5000  4 P 2.98
P 0.0000 0.0000 0.5000  2 Rb 2.73, 4 Sc 2.98
O 0.0000 0.5000 0.0000  2 Rb 2.11
O 0.5000 0.0000 0.0000  2 Rb 2.11
Rb 0.0000 0.0000 0.0000  4 O 2.11

***

Entry 5:
# KCo2Ni

A geometry-optimized KCo2Ni structure (PBE, Alexandria).

- Calculated formation energy: 2.67 eV per formula unit

Unit cell a=4.4159 b=4.4159 c=6.6311 alpha=84.41 beta=84.41 gamma=35.54
With the nearest neighbours (Å) after each atom.
Positions (direct):
Co 0.9722 0.9722 0.1200  2 Co 2.27, 2 Ni 2.39
Co 0.5278 0.5278 0.3800  2 Co 2.27, 2 Ni 2.39
K 0.7500 0.7500 0.7500  2 K 2.70
Ni 0.2500 0.2500 0.2500  6 Co 2.39-2.57

***

Entry 6:
# La2GaSi

A geometry-optimized La2GaSi structure (PBE, Alexandria).

- Energy relative to the elements, uncorrected: -0.227 eV per atom

Unit cell a=8.2771 b=8.2771 c=6.7454 alpha=52.15 beta=52.15 gamma=90.00
With the nearest neighbours (Å) after each atom.
Positions (direct):
Si 0.5000 0.5000 0.0000  4 La 2.96
Si 0.2500 0.7500 0.5000  4 La 2.96
Ga 0.0000 0.0000 0.0000  4 La 3.13, 2 Si 3.35
Ga 0.7500 0.2500 0.5000  4 La 3.13, 2 Si 3.35
La 0.6101 0.1250 0.2500  2 Si 2.96, 2 Ga 3.13
La 0.1399 0.6250 0.2500  2 Si 2.96, 2 Ga 3.13
La 0.3750 0.3899 0.7500  2 Si 2.96, 2 Ga 3.13
La 0.8750 0.8601 0.7500  2 Si 2.96, 2 Ga 3.13

***

Entry 7:
# ZnFeNi2

A geometry-optimized ZnFeNi2 structure (PBE, Alexandria).

- Calculated formation energy: -0.22 eV per formula unit

Unit cell a=2.5776 b=2.5776 c=8.3471 alpha=81.12 beta=81.12 gamma=60.00
With the nearest neighbours (Å) after each atom.
Positions (direct):
Zn 0.4999 0.4999 0.5003  6 Ni 2.57-2.58, 6 Zn 2.58
Fe 0.6667 0.6667 0.9999  6 Ni 2.49, 6 Fe 2.58
Ni 0.0813 0.0813 0.7561  3 Fe 2.49, 3 Zn 2.57, 6 Ni 2.58
Ni 0.2521 0.2521 0.2437  3 Fe 2.49, 6 Ni 2.58, 3 Zn 2.58

***

Entry 8:
# Pr3Sm2In7

A geometry-optimized Pr3Sm2In7 structure (PBE, Alexandria).

- Calculated formation energy: -3.01 eV per formula unit

Unit cell a=5.5437 b=5.2730 c=12.8577 alpha=101.83 beta=90.00 gamma=90.00
With the nearest neighbours (Å) after each atom.
Positions (direct):
Pr 0.5000 0.5000 0.0000  8 In 3.30-3.32
Pr 0.5000 0.6586 0.3173  6 In 3.27-3.51
Pr 0.5000 0.3414 0.6827  6 In 3.27-3.51
Sm 0.0000 0.8569 0.7138  7 In 3.17-3.38
Sm 0.0000 0.1431 0.2862  7 In 3.17-3.38
In 0.0000 0.4270 0.8541  2 Sm 3.17, 2 In 3.21, 4 Pr 3.32-3.51
In 0.0000 0.7273 0.4545  2 In 2.87
In 0.0000 0.0000 0.0000  8 In 3.21-3.41
In 0.0000 0.5730 0.1459  2 Sm 3.17, 2 In 3.21, 4 Pr 3.32-3.51
In 0.5000 0.0787 0.1573  2 Sm 3.21, 4 Pr 3.30-3.32, 2 In 3.41
In 0.5000 0.9213 0.8427  2 Sm 3.21, 4 Pr 3.30-3.32, 2 In 3.41
In 0.0000 0.2727 0.5455  2 In 2.87

***

Entry 9:
# DyHo8Hg2

A geometry-optimized DyHo8Hg2 structure (PBE, Alexandria).

- Calculated formation energy: -0.50 eV per formula unit

Unit cell a=5.4911 b=8.6018 c=8.6018 alpha=118.48 beta=100.33 gamma=100.33
With the nearest neighbours (Å) after each atom.
Positions (direct):
Dy 0.5000 0.0000 0.0000  8 Ho 3.27-3.61
Ho 0.8931 0.9083 0.6792  2 Hg 3.07-3.31, 2 Ho 3.39-3.40
Ho 0.8931 0.6792 0.9083  2 Hg 3.07-3.31, 2 Ho 3.39-3.40
Ho 0.2996 0.6029 0.6029  2 Ho 3.15-3.30, 2 Hg 3.26, 1 Dy 3.27
Ho 0.5000 0.7755 0.2245  2 Hg 3.00, 1 Dy 3.32
Ho 0.5000 0.2245 0.7755  2 Hg 3.00, 1 Dy 3.32
Ho 0.7004 0.3971 0.3971  2 Ho 3.15-3.30, 2 Hg 3.26, 1 Dy 3.27
Ho 0.1069 0.3208 0.0917  2 Hg 3.07-3.31, 2 Ho 3.39-3.40
Ho 0.1069 0.0917 0.3208  2 Hg 3.07-3.31, 2 Ho 3.39-3.40
Hg 0.0000 0.3066 0.6934  8 Ho 3.00-3.31
Hg 0.0000 0.6934 0.3066  8 Ho 3.00-3.31

***

Entry 10:
# KYRu2

A geometry-optimized KYRu2 structure (PBE, Alexandria).

- Calculated formation energy: 1.29 eV per formula unit

Unit cell a=4.0900 b=4.0900 c=8.8093 alpha=77.47 beta=77.47 gamma=59.94
With the nearest neighbours (Å) after each atom.
Positions (direct):
K 0.2815 0.2815 0.1720  6 Ru 3.45-3.81
Ru 0.0412 0.0412 0.8770  3 Ru 2.41
Ru 0.7252 0.7252 0.8219  3 Ru 2.41
Y 0.4521 0.4521 0.6291  6 Ru 2.88-3.17

***

Entry 11:
# Li2GaCuAu

A geometry-optimized Li2GaCuAu structure (PBE, Alexandria).

- Calculated formation energy: 0.78 eV per formula unit

Unit cell a=4.7033 b=4.8934 c=4.7033 alpha=90.00 beta=90.00 gamma=90.00
With the nearest neighbours (Å) after each atom.
Positions (direct):
Au 0.0000 0.0000 0.0000  4 Li 2.35, 2 Cu 2.45
Cu 0.0000 0.5000 0.0000  2 Au 2.45
Ga 0.5000 0.5000 0.5000  4 Cu 3.33, 8 Li 3.39
Li 0.0000 0.0000 0.5000  2 Au 2.35
Li 0.5000 0.0000 0.0000  2 Au 2.35

***

Entry 12:
# Ac2HgPt

A geometry-optimized Ac2HgPt structure (PBE, Alexandria).

- Calculated formation energy: -3.28 eV per formula unit

Unit cell a=4.3820 b=4.3820 c=8.6286 alpha=75.29 beta=75.29 gamma=60.00
With the nearest neighbours (Å) after each atom.
Positions (direct):
Ac 0.2639 0.2639 0.2082  3 Pt 3.06
Ac 0.7361 0.7361 0.7918  3 Pt 3.06
Hg 0.5000 0.5000 0.5000  6 Ac 3.49
Pt 0.0000 0.0000 0.0000  6 Ac 3.06

***

Entry 13:
# CsLiVN2

A geometry-optimized CsLiVN2 structure (PBE, Alexandria).

- Energy relative to the elements, uncorrected: -0.601 eV per atom

Unit cell a=5.2782 b=6.9829 c=5.3461 alpha=90.00 beta=90.00 gamma=112.21
With the nearest neighbours (Å) after each atom.
Positions (direct):
Cs 0.7500 0.5000 0.7485  6 N 3.25-3.51, 2 Li 3.49
Cs 0.2500 0.5000 0.2515  6 N 3.25-3.51, 2 Li 3.49
Li 0.0000 0.0000 0.5000  2 N 1.95
Li 0.5000 0.0000 0.5000  2 N 1.95
V 0.7500 0.0000 0.0000  4 N 1.89
V 0.2500 0.0000 0.0000  4 N 1.89
N 0.9265 0.8530 0.1816  2 V 1.89, 1 Li 1.95
N 0.5735 0.1470 0.1816  2 V 1.89, 1 Li 1.95
N 0.4265 0.8530 0.8184  2 V 1.89, 1 Li 1.95
N 0.0735 0.1470 0.8184  2 V 1.89, 1 Li 1.95

***

Entry 14:
# CePa2S3

A geometry-optimized CePa2S3 structure (PBE, Alexandria).

- Energy relative to the elements, uncorrected: -1.732 eV per atom

Unit cell a=8.7946 b=8.7946 c=8.7946 alpha=154.17 beta=154.17 gamma=36.85
With the nearest neighbours (Å) after each atom.
Positions (direct):
Ce 0.0000 0.0000 0.0000  6 S 2.78-2.80
Pa 0.6671 0.6671 0.0000  6 S 2.76-2.79
Pa 0.3329 0.3329 0.0000  6 S 2.76-2.79
S 0.5000 0.5000 0.0000  4 Ce 2.78, 2 Pa 2.79
S 0.8324 0.8324 0.0000  5 Pa 2.76-2.78, 1 Ce 2.80
S 0.1676 0.1676 0.0000  5 Pa 2.76-2.78, 1 Ce 2.80

***

Entry 15:
# Sr2MoAu

A geometry-optimized Sr2MoAu structure (PBE, Alexandria).

- Calculated formation energy: 2.21 eV per formula unit

Unit cell a=6.2686 b=6.2686 c=6.2686 alpha=136.78 beta=136.78 gamma=62.77
With the nearest neighbours (Å) after each atom.
Positions (direct):
Au 0.5000 0.5000 0.0000  8 Sr 3.26-3.53, 4 Mo 3.53
Mo 0.7500 0.2500 0.5000  8 Sr 3.26-3.53, 4 Au 3.53
Sr 0.0000 0.0000 0.0000  4 Au 3.26, 4 Sr 3.53, 4 Mo 3.53
Sr 0.2500 0.7500 0.5000  4 Mo 3.26, 4 Sr 3.53, 4 Au 3.53

***

Entry 16:
# BaZnInSb2

A geometry-optimized BaZnInSb2 structure (PBE, Alexandria).

- Energy relative to the elements, uncorrected: -0.399 eV per atom

Unit cell a=5.3130 b=7.2802 c=9.6596 alpha=98.78 beta=90.00 gamma=111.40
With the nearest neighbours (Å) after each atom.
Positions (direct):
Ba 0.3343 0.6687 0.2929  5 Sb 3.51-3.85, 1 Zn 3.55, 1 In 3.72
Ba 0.6657 0.3313 0.7071  5 Sb 3.51-3.85, 1 Zn 3.55, 1 In 3.72
Zn 0.6516 0.3031 0.0704  4 Sb 2.70-2.89
Zn 0.3484 0.6969 0.9296  4 Sb 2.70-2.89
In 0.0559 0.1118 0.2268  4 Sb 2.94-3.07
In 0.9441 0.8882 0.7732  4 Sb 2.94-3.07
Sb 0.3807 0.7614 0.6614  1 Zn 2.70, 2 In 2.94
Sb 0.6193 0.2386 0.3386  1 Zn 2.70, 2 In 2.94
Sb 0.1421 0.2841 0.9522  3 Zn 2.84-2.89, 2 In 2.94-3.07
Sb 0.8579 0.7159 0.0478  3 Zn 2.84-2.89, 2 In 2.94-3.07

***

Entry 17:
# ScTaFe2

A geometry-optimized ScTaFe2 structure (PBE, Alexandria).

- Calculated formation energy: -0.78 eV per formula unit

Unit cell a=4.3361 b=4.3361 c=4.3361 alpha=60.00 beta=60.00 gamma=60.00
With the nearest neighbours (Å) after each atom.
Positions (direct):
Sc 0.0000 0.0000 0.0000  8 Fe 2.66
Fe 0.2500 0.2500 0.2500  4 Ta 2.66, 4 Sc 2.66
Fe 0.7500 0.7500 0.7500  4 Ta 2.66, 4 Sc 2.66
Ta 0.5000 0.5000 0.5000  8 Fe 2.66

***

Entry 18:
# GdErInPd

A geometry-optimized GdErInPd structure (PBE, Alexandria).

- Calculated formation energy: -2.39 eV per formula unit

Unit cell a=5.1640 b=5.1640 c=5.1640 alpha=60.00 beta=60.00 gamma=60.00
With the nearest neighbours (Å) after each atom.
Positions (direct):
Gd 0.7500 0.7500 0.7500  4 In 3.16, 4 Pd 3.16
In 0.5000 0.5000 0.5000  4 Gd 3.16, 4 Er 3.16
Pd 0.0000 0.0000 0.0000  4 Er 3.16, 4 Gd 3.16
Er 0.2500 0.2500 0.2500  4 In 3.16, 4 Pd 3.16

***

Entry 19:
# PrCu6Sn6

A geometry-optimized PrCu6Sn6 structure (PBE, Alexandria).

- Calculated formation energy: -1.29 eV per formula unit

Unit cell a=5.6613 b=7.2445 c=7.2445 alpha=77.54 beta=67.00 gamma=67.00
With the nearest neighbours (Å) after each atom.
Positions (direct):
Pr 0.0000 0.0000 0.0000  8 Sn 3.09-3.29
Cu 0.0000 0.5000 0.0000  6 Sn 2.79-2.94, 4 Cu 2.82-2.83
Cu 0.5000 0.5000 0.0000  6 Sn 2.79-2.94, 4 Cu 2.82-2.83
Cu 0.0000 0.0000 0.5000  6 Sn 2.79-2.94, 4 Cu 2.82-2.83
Cu 0.5000 0.0000 0.5000  6 Sn 2.79-2.94, 4 Cu 2.82-2.83
Cu 0.5000 0.7531 0.2469  6 Sn 2.78-2.96, 4 Cu 2.82
Cu 0.5000 0.2469 0.7531  6 Sn 2.78-2.96, 4 Cu 2.82
Sn 0.3365 0.6635 0.6635  6 Cu 2.80
Sn 0.6635 0.3365 0.3365  6 Cu 2.80
Sn 0.0000 0.3410 0.6590  1 Sn 2.88, 6 Cu 2.94-2.96, 1 Pr 3.09
Sn 0.0000 0.6590 0.3410  1 Sn 2.88, 6 Cu 2.94-2.96, 1 Pr 3.09
Sn 0.3316 0.1684 0.1684  6 Cu 2.78-2.79
Sn 0.6684 0.8316 0.8316  6 Cu 2.78-2.79

***

Entry 20:
# Sc3ZnHg4

A geometry-optimized Sc3ZnHg4 structure (PBE, Alexandria).

- Calculated formation energy: -2.64 eV per formula unit

Unit cell a=4.8536 b=7.1262 c=9.7067 alpha=90.00 beta=90.00 gamma=90.00
With the nearest neighbours (Å) after each atom.
Positions (direct):
Sc 0.0000 0.0000 0.0000  8 Hg 3.04
Sc 0.0000 0.0000 0.5000  8 Hg 3.04
Sc 0.5001 0.0000 0.7500  8 Hg 3.04
Sc 0.4999 0.0000 0.2500  8 Hg 3.04
Sc 0.5001 0.5000 0.7500  8 Hg 2.98
Sc 0.4999 0.5000 0.2500  8 Hg 2.98
Zn 0.0000 0.5000 0.0000  8 Hg 2.98
Zn 0.0000 0.5000 0.5000  8 Hg 2.98
Hg 0.5000 0.7432 0.0000  6 Sc 2.98-3.04, 2 Zn 2.98
Hg 0.5000 0.7432 0.5000  6 Sc 2.98-3.04, 2 Zn 2.98
Hg 0.5000 0.2568 0.0000  6 Sc 2.98-3.04, 2 Zn 2.98
Hg 0.5000 0.2568 0.5000  6 Sc 2.98-3.04, 2 Zn 2.98
Hg 0.0001 0.7432 0.7500  6 Sc 2.98-3.04, 2 Zn 2.98
Hg 0.9999 0.7432 0.2500  6 Sc 2.98-3.04, 2 Zn 2.98
Hg 0.9999 0.2568 0.2500  6 Sc 2.98-3.04, 2 Zn 2.98
Hg 0.0001 0.2568 0.7500  6 Sc 2.98-3.04, 2 Zn 2.98

***

Magnetization across the listed records, respectively: 0.165; 0.447; 0.000; 0.000; 1.036; 0.000; 0.929; 0.000; 0.000; 0.095; 0.000; 0.000; 0.192; 0.211; 0.900; 0.000; 0.000; 1.799; 0.000; 0.045 μB/atom.